## InCuCl6 (GGA-PBE)

Data for crystalline InCuCl6 at its relaxed geometry.

```
8
Lattice="-1.374 -4.458 1.186 0.290 0.190 -7.267 6.537 -0.794 3.691" Properties=species:S:1:pos:R:3 pbc="T T T"
Cl 1.158 -1.283 -4.073
Cl 0.599 -3.645 1.684
Cl 1.632 -0.930 -0.609
Cl 2.821 -3.857 -1.833
Cl 4.897 -1.455 -4.153
Cl 5.226 -3.656 1.999
Cu 0.634 -3.823 -2.022
In 4.849 -1.599 -0.549
```

## Properties
- mass density (g/cm³) = 2.9
- electronic total energy (eV per atom) = -2.475